Entry 1:
This record from the Alexandria database describes Ho2ZrPaP4 after structural relaxation. The functional is PBE.

## Properties
For the total energy, the calculation gives -60.59 eV for the cell shown. The density of states at the Fermi level comes out at 4.795 states/eV per cell. The formation energy comes out at -1.4694 eV per atom. The value obtained for the total moment is 0.00 μB per formula unit.

a b c (Å): 6.757 3.917 6.797
angles (deg): 90.00 109.28 90.00
Space group P2/m (No. 10)
One atom of each set of equivalent atoms:
1 Ho 0.000 0.000 0.000 [1 per cell]
2 Ho 0.500 0.500 0.000 [1 per cell]
3 Zr 0.000 0.500 0.500 [1 per cell]
4 Pa 0.500 0.000 0.500 [1 per cell]
5 P 0.243 0.000 0.739 [2 per cell]
6 P 0.246 0.500 0.255 [2 per cell]

***

Entry 2:
This record from the Alexandria database describes HgH6IrPt after structural relaxation. The functional is PBE.

## Properties
For the total energy, the calculation gives -33.61 eV for the cell shown. The density of states at the Fermi level comes out at 3.475 states/eV per cell. The value obtained for the total moment is 0.47 μB per formula unit.

a b c (Å): 4.6390 4.6390 6.3249
angles (deg): 90.00 90.00 120.00
Space group P312 (No. 149)
One atom of each set of equivalent atoms:
1 Hg 0.0000 0.0000 0.0000 [1 per cell]
2 H 0.3389 0.0040 0.6407 [6 per cell]
3 Ir 0.6667 0.3333 0.5000 [1 per cell]
4 Pt 0.3333 0.6667 0.5000 [1 per cell]

***

Q: Among the records above, which one has the lowest total moment?
A: Ho2ZrPaP4